15
Lattice="3.489 2.015 6.662 -3.489 2.015 6.662 0.000 -4.029 6.662" Properties=species:S:1:pos:R:3 comment="Rb3Ho3UO8 PBE relaxed" total_energy_ev_per_fu=-109.71 n_ef_per_ev_cell=7.94 pbc="T T T"
Rb -1.745 -1.007 6.662
Rb -1.745 1.007 13.323
Rb 0.000 2.015 6.662
Ho -3.489 0.000 9.992
Ho -1.745 1.007 3.331
Ho 1.745 1.007 3.331
U 0.000 0.000 9.992
O 0.000 0.000 4.453
O -1.707 -0.985 11.094
O 0.000 -1.971 8.891
O -1.707 0.985 8.891
O 1.707 -0.985 11.094
O 0.000 1.971 11.094
O 1.707 0.985 8.891
O 0.000 0.000 15.532